A plane-wave DFT calculation with PBE was carried out for a relaxed structure of Sr3GaBr.

```
Sr3GaBr
1.0
6.174 0.000 0.000
0.000 6.174 0.000
0.000 0.000 6.174
Sr Ga Br
3 1 1
direct
0.000 0.000 0.500
0.000 0.500 0.000
0.500 0.000 0.000
0.000 0.000 0.000
0.500 0.500 0.500
```

**Space-group type**: Pm-3m, No. 221
**Magnetization**: 0.0 μB/f.u.
**E above lowest polymorph**: 0.00 eV per formula unit
**D(E_F)**: 1.9 states/eV per cell
**E_form (uncorrected)**: -0.478 eV/atom
**Total energy**: -0.0892 Ha/atom